Entry 1:
A geometry-optimized HfMgMoW structure. Source: OQMD, functional GGA-PBE.

```
data_HfMgMoW
_chemical_formula_sum 'Hf4 Mg4 Mo4 W4'
_symmetry_space_group_name_H-M 'F -4 3 m'
_symmetry_Int_Tables_number 216
_symmetry_space_group_name_Hall 'F -4 2 3'
_cell_length_a 6.556
_cell_length_b 6.556
_cell_length_c 6.556
_cell_angle_alpha 90.00
_cell_angle_beta 90.00
_cell_angle_gamma 90.00
loop_
_atom_site_label
_atom_site_type_symbol
_atom_site_fract_x
_atom_site_fract_y
_atom_site_fract_z
Hf1 Hf 0.000 0.000 0.000
Mg1 Mg 0.250 0.250 0.250
Mo1 Mo 0.250 0.250 0.750
W1 W 0.000 0.000 0.500
```

Values from the calculation:
E_tot ... -34.4 eV/f.u.

=====

Entry 2:
A geometry-optimized HfMgNO structure. Source: OQMD, functional GGA-PBE.

```
data_HfMgNO
_chemical_formula_sum 'Hf2 Mg2 N2 O2'
_symmetry_space_group_name_H-M 'P 4/n m m'
_symmetry_Int_Tables_number 129
_cell_length_a 4.422
_cell_length_b 4.422
_cell_length_c 4.437
_cell_angle_alpha 90.00
_cell_angle_beta 90.00
_cell_angle_gamma 90.00
loop_
_symmetry_equiv_pos_as_xyz
'x,y,z'
'-x,-y,-z'
'-y+1/2,x,z'
'y+1/2,-x,-z'
'-x+1/2,-y+1/2,z'
'x+1/2,y+1/2,-z'
'y,-x+1/2,z'
'-y,x+1/2,-z'
'x+1/2,-y,-z'
'-x+1/2,y,z'
'-y,-x,-z'
'y,x,z'
'-x,y+1/2,-z'
'x,-y+1/2,z'
'y+1/2,x+1/2,-z'
'-y+1/2,-x+1/2,z'
loop_
_atom_site_label
_atom_site_type_symbol
_atom_site_fract_x
_atom_site_fract_y
_atom_site_fract_z
Hf1 Hf 0.250 0.750 0.000
Mg1 Mg 0.250 0.250 0.498
N1 N 0.250 0.250 0.998
O1 O 0.250 0.750 0.500
```

Values from the calculation:
E_tot ... -32.7 eV/f.u.

=====

Copy entry 1 word for word.
A geometry-optimized HfMgMoW structure. Source: OQMD, functional GGA-PBE.

```
data_HfMgMoW
_chemical_formula_sum 'Hf4 Mg4 Mo4 W4'
_symmetry_space_group_name_H-M 'F -4 3 m'
_symmetry_Int_Tables_number 216
_symmetry_space_group_name_Hall 'F -4 2 3'
_cell_length_a 6.556
_cell_length_b 6.556
_cell_length_c 6.556
_cell_angle_alpha 90.00
_cell_angle_beta 90.00
_cell_angle_gamma 90.00
loop_
_atom_site_label
_atom_site_type_symbol
_atom_site_fract_x
_atom_site_fract_y
_atom_site_fract_z
Hf1 Hf 0.000 0.000 0.000
Mg1 Mg 0.250 0.250 0.250
Mo1 Mo 0.250 0.250 0.750
W1 W 0.000 0.000 0.500
```

Values from the calculation:
E_tot ... -34.4 eV/f.u.

=====

Repeat the second record exactly.
A geometry-optimized HfMgNO structure. Source: OQMD, functional GGA-PBE.

```
data_HfMgNO
_chemical_formula_sum 'Hf2 Mg2 N2 O2'
_symmetry_space_group_name_H-M 'P 4/n m m'
_symmetry_Int_Tables_number 129
_cell_length_a 4.422
_cell_length_b 4.422
_cell_length_c 4.437
_cell_angle_alpha 90.00
_cell_angle_beta 90.00
_cell_angle_gamma 90.00
loop_
_symmetry_equiv_pos_as_xyz
'x,y,z'
'-x,-y,-z'
'-y+1/2,x,z'
'y+1/2,-x,-z'
'-x+1/2,-y+1/2,z'
'x+1/2,y+1/2,-z'
'y,-x+1/2,z'
'-y,x+1/2,-z'
'x+1/2,-y,-z'
'-x+1/2,y,z'
'-y,-x,-z'
'y,x,z'
'-x,y+1/2,-z'
'x,-y+1/2,z'
'y+1/2,x+1/2,-z'
'-y+1/2,-x+1/2,z'
loop_
_atom_site_label
_atom_site_type_symbol
_atom_site_fract_x
_atom_site_fract_y
_atom_site_fract_z
Hf1 Hf 0.250 0.750 0.000
Mg1 Mg 0.250 0.250 0.498
N1 N 0.250 0.250 0.998
O1 O 0.250 0.750 0.500
```

Values from the calculation:
E_tot ... -32.7 eV/f.u.